Zr3MnHg | Alexandria via LeMat-Bulk | GGA-PBE | optimized geometry; energy of formation = 1694 meV per atom; volume = 28.27 Å³/atom; space-group type = Pm-3m (221); energy above the most stable polymorph in this dataset = 7.112 eV/f.u.; electronic total energy = -5.33 eV per atom
1.0
-0.6057 -3.8635 -3.4411
1.3235 -3.4650 3.6575
-5.0016 -0.4490 1.3845
Zr Mn Hg
3 1 1
Cartesian
-2.5008 -0.2245 0.6922
-0.3028 -1.9318 -1.7205
0.6617 -1.7325 1.8287
-2.1419 -3.8888 0.8004
0.0000 0.0000 0.0000